[1]
Entry from Alexandria: a geometry-optimized NbCd3H structure (PBE).

Cell lengths 4.3834, 4.3834, 4.3834 Å; angles 90.00, 90.00, 90.00 degrees
With the nearest neighbours (Å) after each atom.
Space group Pm-3m (No. 221)
Unique sites:
Nb  0.0000  0.0000  0.0000  12 Cd 3.10
Cd  0.0000  0.5000  0.5000  2 H 2.19
H  0.5000  0.5000  0.5000  6 Cd 2.19

Properties
The value obtained for the size of the total moment is 0.000 μB/cell. The value obtained for the electronic total energy is -0.2021 Ry/atom.

[2]
Entry from Alexandria: a geometry-optimized Ac2LaTbPm2 structure (PBE).

Cell lengths 7.3957, 5.9595, 10.2933 Å; angles 90.00, 90.00, 90.00 degrees
With the nearest neighbours (Å) after each atom.
Space group Pmma (No. 51)
Unique sites:
Ac  0.0000  0.0000  0.0000  6 Ac 3.70-3.93, 2 Tb 3.91, 6 Pm 3.94-3.98
Ac  0.2500  0.5000  0.1714  5 Pm 3.46-3.70, 2 La 3.85
La  0.0000  0.5000  0.5000  2 La 3.70, 6 Pm 3.83-3.87, 2 Ac 3.85, 4 Tb 3.90
Tb  0.2500  0.0000  0.6650  5 Pm 3.32-3.70
Pm  0.2500  0.0000  0.3420  3 Tb 3.32-3.70, 2 Ac 3.46
Pm  0.2500  0.5000  0.8258  2 Tb 3.41, 3 Ac 3.56-3.70

Properties
The value obtained for the size of the total moment is 0.000 μB/cell. The energy relative to the elements comes out at 0.0741 eV per atom. The value obtained for the electronic total energy is -0.3287 Ry/atom.

[3]
Entry from Alexandria: a geometry-optimized Te2IrCl structure (PBE).

Cell lengths 6.8707, 6.8707, 6.8707 Å; angles 90.00, 90.00, 90.00 degrees
With the nearest neighbours (Å) after each atom.
Space group Fm-3m (No. 225)
Unique sites:
Te  0.2500  0.2500  0.2500  4 Cl 2.98, 4 Ir 2.98
Ir  0.0000  0.0000  0.0000  8 Te 2.98
Cl  0.0000  0.0000  0.5000  8 Te 2.98

Properties
The value obtained for the uncorrected formation energy is 103 kJ/mol of formula units. The value obtained for the size of the total moment is 0.000 μB/cell. The value obtained for the electronic total energy is -0.2925 Ry/atom.

[4]
Entry from Alexandria: a geometry-optimized SiTePd3 structure (PBE).

Cell lengths 4.5953, 4.5953, 4.5953 Å; angles 90.00, 90.00, 90.00 degrees
With the nearest neighbours (Å) after each atom.
Space group Pm-3m (No. 221)
Unique sites:
Si  0.0000  0.0000  0.0000  6 Pd 2.30
Te  0.5000  0.5000  0.5000  12 Pd 3.25
Pd  0.0000  0.0000  0.5000  2 Si 2.30

Properties
The value obtained for the uncorrected formation energy is -43 kJ/mol of formula units. The value obtained for the size of the total moment is 0.000 μB/cell. The value obtained for the electronic total energy is -0.3615 Ry/atom.

[5]
Entry from Alexandria: a geometry-optimized Pr3Th2Te8 structure (PBE).

Cell lengths 10.8155, 15.3649, 5.4429 Å; angles 90.00, 90.00, 90.00 degrees
With the nearest neighbours (Å) after each atom.
Space group Cmmm (No. 65)
Unique sites:
Pr  0.0000  0.0000  0.0000  8 Te 3.29
Pr  0.2253  0.5000  0.5000  8 Te 3.20-3.50
Th  0.0000  0.2535  0.0000  8 Te 3.22-3.40
Te  0.0000  0.1208  0.5000  4 Pr 3.29-3.50, 2 Th 3.40
Te  0.0000  0.3650  0.5000  2 Pr 3.20, 2 Th 3.22
Te  0.2460  0.1259  0.0000  3 Pr 3.29-3.35, 2 Th 3.30-3.31

Properties
The value obtained for the uncorrected formation energy is -1520 kJ/mol of formula units. The value obtained for the size of the total moment is 1.831 μB/cell. The value obtained for the electronic total energy is -0.3961 Ry/atom.

[6]
Entry from Alexandria: a geometry-optimized Sr3LaC2N4F5 structure (PBE).

Cell lengths 6.6339, 11.6660, 6.6132 Å; angles 90.00, 119.92, 90.00 degrees
With the nearest neighbours (Å) after each atom.
Space group Cm (No. 8)
Unique sites:
Sr  0.0000  0.0000  0.0000  5 F 2.51-2.64, 2 N 2.71
Sr  0.1703  0.3431  0.3338  5 F 2.48-2.59, 2 N 2.66-2.67
La  0.3339  0.0000  0.6684  5 F 2.45-2.60, 2 N 2.59
C  0.1902  0.2491  0.8252  2 N 1.24
N  0.1197  0.3385  0.7095  1 C 1.24
N  0.2623  0.1592  0.9384  1 C 1.24
F  0.0623  0.1403  0.3394  3 Sr 2.48-2.64, 1 La 2.60
F  0.1586  0.5000  0.0702  1 La 2.45, 3 Sr 2.50-2.53
F  0.4105  0.0000  0.3397  1 La 2.47, 3 Sr 2.52-2.53
F  0.4259  0.5000  0.5896  1 La 2.49, 3 Sr 2.50-2.51, 2 F 2.78

Properties
The value obtained for the uncorrected formation energy is -3421 kJ/mol of formula units. The value obtained for the size of the total moment is 0.000 μB/cell. The value obtained for the electronic total energy is -0.5220 Ry/atom.

[7]
Entry from Alexandria: a geometry-optimized LaAs2W structure (PBE).

Cell lengths 6.8238, 6.8238, 6.8238 Å; angles 90.00, 90.00, 90.00 degrees
With the nearest neighbours (Å) after each atom.
Space group Fm-3m (No. 225)
Unique sites:
La  0.0000  0.0000  0.0000  8 As 2.95
As  0.2500  0.2500  0.2500  4 La 2.95, 4 W 2.95
W  0.0000  0.0000  0.5000  8 As 2.95

Properties
The value obtained for the size of the total moment is 2.855 μB/cell. The energy relative to the elements comes out at -0.2049 eV per atom. The value obtained for the electronic total energy is -0.5145 Ry/atom.

[8]
Entry from Alexandria: a geometry-optimized NaTbSc2Te4 structure (PBE).

Cell lengths 7.4203, 4.2405, 7.5009 Å; angles 90.00, 108.70, 90.00 degrees
With the nearest neighbours (Å) after each atom.
Space group P2/m (No. 10)
Unique sites:
Na  0.0000  0.0000  0.0000  6 Te 3.09-3.11
Tb  0.5000  0.5000  0.0000  6 Te 3.09-3.10
Sc  0.0000  0.5000  0.5000  6 Te 2.97-2.98
Sc  0.5000  0.0000  0.5000  6 Te 2.96-2.98
Te  0.2446  0.0000  0.7354  3 Sc 2.98, 1 Na 3.09, 2 Tb 3.10
Te  0.2572  0.5000  0.2672  3 Sc 2.96-2.97, 1 Tb 3.09, 2 Na 3.11

Properties
The value obtained for the uncorrected formation energy is -930 kJ/mol of formula units. The value obtained for the size of the total moment is 0.000 μB/cell. The value obtained for the electronic total energy is -0.3750 Ry/atom.

[9]
Entry from Alexandria: a geometry-optimized MgUAl2 structure (PBE).

Cell lengths 2.8269, 2.8269, 9.3737 Å; angles 90.00, 90.00, 90.00 degrees
With the nearest neighbours (Å) after each atom.
Space group P4/mmm (No. 123)
Unique sites:
Mg  0.0000  0.0000  0.0000  4 Mg 2.83, 8 Al 3.04
U  0.0000  0.0000  0.5000  4 U 2.83, 8 Al 3.12
Al  0.5000  0.5000  0.2449  4 Al 2.83, 4 Mg 3.04, 4 U 3.12

Properties
The value obtained for the size of the total moment is 0.834 μB/cell. The energy relative to the elements comes out at -0.0371 eV per atom. The value obtained for the electronic total energy is -0.3770 Ry/atom.

[10]
Entry from Alexandria: a geometry-optimized RbBaIrN2 structure (PBE).

Cell lengths 5.1074, 5.1074, 5.1745 Å; angles 90.00, 90.00, 90.00 degrees
With the nearest neighbours (Å) after each atom.
Space group P4/mmm (No. 123)
Unique sites:
Rb  0.0000  0.0000  0.0000  4 N 2.55, 2 Ir 2.59
Ba  0.5000  0.5000  0.5000  4 Ir 3.61, 8 N 3.64
Ir  0.0000  0.0000  0.5000  2 Rb 2.59
N  0.0000  0.5000  0.0000  2 Rb 2.55

Properties
The value obtained for the uncorrected formation energy is 1121 kJ/mol of formula units. The value obtained for the size of the total moment is 0.704 μB/cell. The value obtained for the electronic total energy is -0.2467 Ry/atom.

[11]
Entry from Alexandria: a geometry-optimized Y6BiRh2 structure (PBE).

Cell lengths 9.4629, 9.8037, 10.5134 Å; angles 90.00, 90.00, 90.00 degrees
With the nearest neighbours (Å) after each atom.
Space group Immm (No. 71)
Unique sites:
Y  0.0000  0.2070  0.2342  1 Rh 2.78
Y  0.1895  0.5000  0.1701  3 Rh 2.74-2.99
Y  0.2074  0.3192  0.5000  3 Rh 2.99-3.17, 1 Bi 3.29
Bi  0.0000  0.0000  0.0000  8 Y 3.19-3.29, 2 Rh 3.31
Bi  0.0000  0.0000  0.5000  12 Y 3.44-3.69
Rh  0.0000  0.3379  0.0000  6 Y 2.78-2.99
Rh  0.0000  0.5000  0.3672  6 Y 2.74-2.99, 1 Rh 2.79

Properties
The value obtained for the size of the total moment is 0.000 μB/cell. The energy relative to the elements comes out at -0.6135 eV per atom. The value obtained for the electronic total energy is -0.5136 Ry/atom.

[12]
Entry from Alexandria: a geometry-optimized CaYO2F structure (PBE).

Cell lengths 4.4141, 4.4141, 4.2779 Å; angles 90.00, 90.00, 90.00 degrees
With the nearest neighbours (Å) after each atom.
Space group P4/mmm (No. 123)
Unique sites:
Ca  0.0000  0.0000  0.0000  8 O 3.07, 4 F 3.12
Y  0.5000  0.5000  0.5000  2 F 2.14, 4 O 2.21
O  0.0000  0.5000  0.5000  2 Y 2.21
F  0.5000  0.5000  0.0000  2 Y 2.14

Properties
The value obtained for the uncorrected formation energy is -1456 kJ/mol of formula units. The value obtained for the size of the total moment is 0.000 μB/cell. The value obtained for the electronic total energy is -0.5196 Ry/atom.